# 1
The following is a DFT calculation (GGA-PBE) of crystalline La2Cu2SeSO2 at its relaxed geometry.

Results
- Fermi-level density of states: 0.00 states/eV per cell
- M_tot: 0.000 μB per atom
- Calculated volume: 17.64 Å³ per atom
- Crystal system: tetragonal
- E_form (uncorrected): -2043 meV/atom
- Uncorrected energy: -6.490 eV/atom

Unit cell a=4.028 b=4.028 c=8.701 alpha=90.00 beta=90.00 gamma=90.00
Positions (direct):
La 0.000 0.000 0.000
La 0.500 0.500 0.288
Cu 0.000 0.500 0.627
Cu 0.500 0.000 0.627
Se 0.500 0.500 0.806
S 0.000 0.000 0.477
O 0.000 0.500 0.144
O 0.500 0.000 0.144

# 2
The following is a DFT calculation (GGA-PBE) of crystalline ZrHg2Ir at its relaxed geometry.

Results
- DFT formation energy: 0.008 eV/atom
- Fermi-level density of states: 1.68 states/eV per cell
- M_tot: 0.000 μB per atom
- Energy above the most stable polymorph in this dataset: 195 meV/atom
- Calculated volume: 19.00 Å³ per atom
- Crystal system: cubic
- Uncorrected energy: -4.495 eV/atom

Unit cell a=4.754 b=4.754 c=4.754 alpha=60.00 beta=60.00 gamma=60.00
Positions (direct):
Zr 0.000 0.000 0.000
Hg 0.250 0.250 0.250
Hg 0.750 0.750 0.750
Ir 0.500 0.500 0.500

# 3
The following is a DFT calculation (GGA-PBE) of crystalline TaMn2ReSe at its relaxed geometry.

Results
- Fermi-level density of states: 3.91 states/eV per cell
- M_tot: 1.346 μB per atom
- Calculated volume: 21.95 Å³ per atom
- Crystal system: tetragonal
- E_form (uncorrected): 1675 meV/atom
- Uncorrected energy: -7.550 eV/atom

Unit cell a=4.805 b=4.805 c=4.753 alpha=90.00 beta=90.00 gamma=90.00
Positions (direct):
Ta 0.000 0.000 0.000
Mn 0.000 0.500 0.000
Mn 0.500 0.000 0.000
Re 0.000 0.000 0.500
Se 0.500 0.500 0.500